Entry 1:
Entry from Alexandria: ScFeI2 after structural relaxation (PBEsol).

Summary:
Space group: No. 225
Formation energy from raw total energies: 116 meV per atom

Unit cell a=4.9744 b=4.9744 c=4.9744 alpha=60.00 beta=60.00 gamma=60.00
Last column: magnetic moment on the atom in μB.
Fractional coordinates of all 4 atoms:
Sc (0.0000, 0.0000, 0.0000)  -0.17
I (0.7500, 0.7500, 0.7500)  0.07
I (0.2500, 0.2500, 0.2500)  0.07
Fe (0.5000, 0.5000, 0.5000)  2.87

=====

Entry 2:
Entry from Alexandria: FeSe3I after structural relaxation (PBEsol).

Summary:
Space group: No. 221
Formation energy from raw total energies: 1332 meV per atom

Unit cell a=5.2854 b=5.2854 c=5.2854 alpha=90.00 beta=90.00 gamma=90.00
Last column: magnetic moment on the atom in μB.
Fractional coordinates of all 5 atoms:
Fe (0.5000, 0.5000, 0.5000)  3.43
Se (0.5000, 0.0000, 0.0000)  0.04
Se (0.0000, 0.5000, 0.0000)  0.04
I (0.0000, 0.0000, 0.0000)  -0.02
Se (0.0000, 0.0000, 0.5000)  0.04

=====

Entry 3:
Entry from Alexandria: FeTe2SeI after structural relaxation (PBEsol).

Summary:
Space group: No. 123
Formation energy from raw total energies: 1041 meV per atom

Unit cell a=5.4433 b=5.4433 c=5.3720 alpha=90.00 beta=90.00 gamma=90.00
Last column: magnetic moment on the atom in μB.
Fractional coordinates of all 5 atoms:
I (0.0000, 0.0000, 0.5000)  0.06
Te (0.5000, 0.0000, 0.0000)  0.03
Fe (0.5000, 0.5000, 0.5000)  3.42
Se (0.0000, 0.0000, 0.0000)  -0.02
Te (0.0000, 0.5000, 0.0000)  0.03

=====

Entry 4:
Entry from Alexandria: Fe3SiI after structural relaxation (PBEsol).

Summary:
Space group: No. 221
Formation energy from raw total energies: 844 meV per atom

Unit cell a=4.3188 b=4.3188 c=4.3188 alpha=90.00 beta=90.00 gamma=90.00
Last column: magnetic moment on the atom in μB.
Fractional coordinates of all 5 atoms:
Fe (0.5000, 0.0000, 0.0000)  1.97
Fe (0.0000, 0.0000, 0.5000)  1.97
Si (0.0000, 0.0000, 0.0000)  -0.13
Fe (0.0000, 0.5000, 0.0000)  1.97
I (0.5000, 0.5000, 0.5000)  0.07